# 1
# ZrBi3Pb, optimized geometry, DFT PBE
# E = -22.566 eV/f.u.
# M_tot = 0.000 μB per formula unit
# energy relative to the elements = 129 kJ/mol of formula units
data_ZrBi3Pb
_cell_length_a 5.694
_cell_length_b 5.694
_cell_length_c 5.694
_cell_angle_alpha 90.00
_cell_angle_beta 90.00
_cell_angle_gamma 90.00
_space_group_name_H-M_alt 'P m -3 m'
_space_group_IT_number 221
_space_group_name_Hall '-P 4 2 3'
loop_
_atom_site_label
_atom_site_fract_x
_atom_site_fract_y
_atom_site_fract_z
Zr1 0.000 0.000 0.000
Bi1 0.000 0.000 0.500
Pb1 0.500 0.500 0.500


# 2
# Li3MgIn7, optimized geometry, DFT PBE
# E = -27.165 eV/f.u.
# M_tot = 0.000 μB per formula unit
# energy relative to the elements = -64 kJ/mol of formula units
data_Li3MgIn7
_cell_length_a 10.090
_cell_length_b 10.366
_cell_length_c 5.839
_cell_angle_alpha 90.00
_cell_angle_beta 119.16
_cell_angle_gamma 90.00
_space_group_name_H-M_alt 'C 1 2/m 1'
_space_group_IT_number 12
loop_
_space_group_symop_operation_xyz
'x,y,z'
'-x,-y,-z'
'-x,y,-z'
'x,-y,z'
'x+1/2,y+1/2,z'
'-x+1/2,-y+1/2,-z'
'-x+1/2,y+1/2,-z'
'x+1/2,-y+1/2,z'
loop_
_atom_site_label
_atom_site_fract_x
_atom_site_fract_y
_atom_site_fract_z
Li1 0.000 0.000 0.000
Li2 0.000 0.226 0.500
Mg1 0.000 0.500 0.000
In1 0.000 0.500 0.500
In2 0.177 0.000 0.569
In3 0.177 0.231 0.175


# 3
# NiRuPt, optimized geometry, DFT PBE
# E = -20.547 eV/f.u.
# M_tot = 0.268 μB per formula unit
# energy relative to the elements = 53 kJ/mol of formula units
data_NiRuPt
_cell_length_a 2.679
_cell_length_b 3.811
_cell_length_c 8.767
_cell_angle_alpha 102.21
_cell_angle_beta 90.03
_cell_angle_gamma 90.00
_space_group_name_H-M_alt 'P -1'
_space_group_IT_number 2
loop_
_space_group_symop_operation_xyz
'x,y,z'
'-x,-y,-z'
loop_
_atom_site_label
_atom_site_fract_x
_atom_site_fract_y
_atom_site_fract_z
Ni1 0.248 0.285 0.072
Ru1 0.250 0.434 0.376
Pt1 0.251 0.138 0.770


# 4
# BaInPtO6, optimized geometry, DFT PBE
# E = -50.459 eV/f.u.
# M_tot = 2.976 μB per formula unit
# formation energy (no corrections) = -1.112 eV per atom
data_BaInPtO6
_cell_length_a 5.5535
_cell_length_b 5.5535
_cell_length_c 5.6961
_cell_angle_alpha 90.00
_cell_angle_beta 90.00
_cell_angle_gamma 120.00
_space_group_name_H-M_alt 'P 3 1 2'
_space_group_IT_number 149
loop_
_space_group_symop_operation_xyz
'x,y,z'
'-y,x-y,z'
'-x+y,-x,z'
'-y,-x,-z'
'-x+y,y,-z'
'x,x-y,-z'
loop_
_atom_site_label
_atom_site_fract_x
_atom_site_fract_y
_atom_site_fract_z
Ba1 0.0000 0.0000 0.0000
In1 0.3333 0.6667 0.5000
Pt1 0.6667 0.3333 0.5000
O1 0.3938 0.0306 0.6984


# 5
# BaTi2SbO8, optimized geometry, DFT PBE
# E = -89.487 eV/f.u.
# M_tot = 1.050 μB per formula unit
# formation energy (no corrections) = -2.332 eV per atom
data_BaTi2SbO8
_cell_length_a 8.681
_cell_length_b 5.966
_cell_length_c 7.641
_cell_angle_alpha 90.00
_cell_angle_beta 103.99
_cell_angle_gamma 90.00
_space_group_name_H-M_alt 'C 1 2/m 1'
_space_group_IT_number 12
loop_
_space_group_symop_operation_xyz
'x,y,z'
'-x,-y,-z'
'-x,y,-z'
'x,-y,z'
'x+1/2,y+1/2,z'
'-x+1/2,-y+1/2,-z'
'-x+1/2,y+1/2,-z'
'x+1/2,-y+1/2,z'
loop_
_atom_site_label
_atom_site_fract_x
_atom_site_fract_y
_atom_site_fract_z
Ba1 0.000 0.000 0.000
Ti1 0.086 0.500 0.278
Sb1 0.000 0.000 0.500
O1 0.013 0.231 0.694
O2 0.134 0.500 0.057
O3 0.234 0.000 0.550


# 6
# Ag2PRu, optimized geometry, DFT PBE
# E = -18.700 eV/f.u.
# M_tot = 0.000 μB per formula unit
# energy relative to the elements = 163 kJ/mol of formula units
data_Ag2PRu
_cell_length_a 3.720
_cell_length_b 3.720
_cell_length_c 4.546
_cell_angle_alpha 90.00
_cell_angle_beta 90.00
_cell_angle_gamma 90.00
_space_group_name_H-M_alt 'P 4/m m m'
_space_group_IT_number 123
_space_group_name_Hall '-P 4 2'
loop_
_atom_site_label
_atom_site_fract_x
_atom_site_fract_y
_atom_site_fract_z
Ag1 0.000 0.500 0.000
P1 0.000 0.000 0.500
Ru1 0.500 0.500 0.500


# 7
# Sm3HoTl3, optimized geometry, DFT PBE
# E = -27.266 eV/f.u.
# M_tot = 0.000 μB per formula unit
# energy relative to the elements = -138 kJ/mol of formula units
data_Sm3HoTl3
_cell_length_a 9.5451
_cell_length_b 9.5451
_cell_length_c 5.2998
_cell_angle_alpha 90.00
_cell_angle_beta 90.00
_cell_angle_gamma 120.00
_space_group_name_H-M_alt 'P 63/m'
_space_group_IT_number 176
_space_group_name_Hall '-P 6c'
loop_
_atom_site_label
_atom_site_fract_x
_atom_site_fract_y
_atom_site_fract_z
Sm1 0.0023 0.7632 0.2500
Ho1 0.3333 0.6667 0.2500
Tl1 0.0713 0.6196 0.7500


> Number 4 is which compound?

BaInPtO6


> Which formula does entry 5 have?

BaTi2SbO8


Copy entry 2 word for word.
# Li3MgIn7, optimized geometry, DFT PBE
# E = -27.165 eV/f.u.
# M_tot = 0.000 μB per formula unit
# energy relative to the elements = -64 kJ/mol of formula units
data_Li3MgIn7
_cell_length_a 10.090
_cell_length_b 10.366
_cell_length_c 5.839
_cell_angle_alpha 90.00
_cell_angle_beta 119.16
_cell_angle_gamma 90.00
_space_group_name_H-M_alt 'C 1 2/m 1'
_space_group_IT_number 12
loop_
_space_group_symop_operation_xyz
'x,y,z'
'-x,-y,-z'
'-x,y,-z'
'x,-y,z'
'x+1/2,y+1/2,z'
'-x+1/2,-y+1/2,-z'
'-x+1/2,y+1/2,-z'
'x+1/2,-y+1/2,z'
loop_
_atom_site_label
_atom_site_fract_x
_atom_site_fract_y
_atom_site_fract_z
Li1 0.000 0.000 0.000
Li2 0.000 0.226 0.500
Mg1 0.000 0.500 0.000
In1 0.000 0.500 0.500
In2 0.177 0.000 0.569
In3 0.177 0.231 0.175